Compound: Ac4NiPtSe2
Source: Alexandria
Functional: PBE-GGA
Structure: optimized geometry

Lattice parameters (Å, degrees): 4.3135 7.4987 8.1510 107.70 90.00 90.00
Closest atoms and distances in Å follow each position.
Element x y z (fractional)
Pt: 0.5000 0.5000 0.0000  6 Ac 3.06-3.07
Ac: 0.5000 0.7621 0.7755  2 Ni 3.03, 1 Pt 3.07, 3 Se 3.27-3.30
Ac: 0.0000 0.7449 0.2265  1 Ni 3.04, 2 Pt 3.06, 3 Se 3.27-3.29
Ac: 0.5000 0.2379 0.2245  2 Ni 3.03, 1 Pt 3.07, 3 Se 3.27-3.30
Ac: 0.0000 0.2551 0.7735  1 Ni 3.04, 2 Pt 3.06, 3 Se 3.27-3.29
Se: 0.0000 0.5000 0.5000  6 Ac 3.29-3.30
Se: 0.5000 0.0000 0.5000  6 Ac 3.27
Ni: 0.0000 0.0000 0.0000  6 Ac 3.03-3.04

M_tot in μB per atom: 0.00
SG: P2/m, No. 10
Fermi-level density of states in states/eV/f.u.: 3.0
Raw total energy in eV per atom: -5.66

***

Compound: LaIr5
Source: Alexandria
Functional: PBE-GGA
Structure: optimized geometry

Lattice parameters (Å, degrees): 5.3115 5.3115 5.3115 60.00 60.00 60.00
Closest atoms and distances in Å follow each position.
Element x y z (fractional)
Ir: 0.6237 0.1289 0.6237  6 Ir 2.63-2.68
Ir: 0.1289 0.6237 0.6237  6 Ir 2.63-2.68
Ir: 0.2500 0.2500 0.2500  12 Ir 3.11, 4 La 3.25
Ir: 0.6237 0.6237 0.1289  6 Ir 2.63-2.68
Ir: 0.6237 0.6237 0.6237  6 Ir 2.63-2.68
La: 0.0000 0.0000 0.0000  16 Ir 3.12-3.25

M_tot in μB per atom: 0.00
SG: F-43m, No. 216
Fermi-level density of states in states/eV/f.u.: 12.7
Raw total energy in eV per atom: -8.12

***

Compound: Cd2CuRu
Source: Alexandria
Functional: PBE-GGA
Structure: optimized geometry

Lattice parameters (Å, degrees): 4.5449 4.5449 4.5449 60.00 60.00 60.00
Closest atoms and distances in Å follow each position.
Element x y z (fractional)
Ru: 0.7500 0.7500 0.7500  4 Cu 2.78, 4 Cd 2.78
Cd: 0.2500 0.2500 0.2500  4 Cu 2.78, 4 Cd 2.78
Cd: 0.0000 0.0000 0.0000  4 Cd 2.78, 4 Ru 2.78
Cu: 0.5000 0.5000 0.5000  4 Ru 2.78, 4 Cd 2.78

M_tot in μB per atom: 0.00
SG: F-43m, No. 216
Fermi-level density of states in states/eV/f.u.: 2.1
Energy relative to the lowest polymorph listed for this composition in meV per atom: 110.7

***

Compound: CaCr2Ru
Source: Alexandria
Functional: PBE-GGA
Structure: optimized geometry

Lattice parameters (Å, degrees): 4.8928 4.8928 5.3413 73.31 73.31 35.61
Closest atoms and distances in Å follow each position.
Element x y z (fractional)
Cr: 0.7480 0.7480 0.7495  2 Cr 2.41, 2 Ru 2.48
Cr: 0.0374 0.0374 0.9077  2 Cr 2.41, 2 Ru 2.49
Ru: 0.4696 0.4696 0.5876  4 Cr 2.48-2.49
Ca: 0.2450 0.2450 0.2553  2 Ca 2.99, 3 Ru 3.04-3.13, 7 Cr 3.04-3.17

M_tot in μB per atom: 0.05
SG: Cm, No. 8
Fermi-level density of states in states/eV/f.u.: 3.6
Energy relative to the lowest polymorph listed for this composition in meV per atom: 134.4

***

Compound: LiEr6Tl2
Source: Alexandria
Functional: PBE-GGA
Structure: optimized geometry

Lattice parameters (Å, degrees): 5.0407 7.2793 8.8492 114.29 106.61 90.00
Closest atoms and distances in Å follow each position.
Element x y z (fractional)
Er: 0.8373 0.5922 0.6737  1 Li 3.07, 3 Tl 3.13-3.15
Er: 0.5000 0.7563 0.0000  2 Li 3.08, 2 Tl 3.17
Er: 0.1627 0.9185 0.3263  1 Li 3.07, 3 Tl 3.13-3.15
Er: 0.5000 0.2437 0.0000  2 Li 3.08, 2 Tl 3.17
Er: 0.8373 0.0815 0.6737  1 Li 3.07, 3 Tl 3.13-3.15
Er: 0.1627 0.4078 0.3263  1 Li 3.07, 3 Tl 3.13-3.15
Li: 0.0000 0.0000 0.0000  8 Er 3.07-3.08
Tl: 0.3332 0.3328 0.6656  8 Er 3.13-3.17
Tl: 0.6668 0.6672 0.3344  8 Er 3.13-3.17

M_tot in μB per atom: 0.00
SG: C2/m, No. 12
Fermi-level density of states in states/eV/f.u.: 10.6
Raw total energy in eV per atom: -3.62

***

Compound: NaPu2Fe
Source: Alexandria
Functional: PBE-GGA
Structure: optimized geometry

Lattice parameters (Å, degrees): 3.5296 3.5296 10.5586 80.38 80.38 60.00
Closest atoms and distances in Å follow each position.
Element x y z (fractional)
Na: 0.0000 0.0000 0.0000  6 Na 3.53, 2 Pu 3.54
Pu: 0.8862 0.8862 0.3414  3 Fe 2.62
Pu: 0.1138 0.1138 0.6586  3 Fe 2.62
Fe: 0.5000 0.5000 0.5000  6 Pu 2.62

M_tot in μB per atom: 2.55
SG: R-3m, No. 166
Fermi-level density of states in states/eV/f.u.: 12.0
Raw total energy in eV per atom: -9.29

***

Compound: Sc2Ga3Ni
Source: Alexandria
Functional: PBE-GGA
Structure: optimized geometry

Lattice parameters (Å, degrees): 3.2545 4.2762 7.3826 90.00 90.00 90.00
Closest atoms and distances in Å follow each position.
Element x y z (fractional)
Ga: 0.5000 0.5000 0.6534  1 Ni 2.40, 2 Ga 2.52
Ga: 0.5000 0.0000 0.8347  3 Ga 2.52
Ga: 0.5000 0.0000 0.1761  2 Ni 2.42, 1 Ga 2.52
Sc: 0.0000 0.5000 0.0210  2 Ni 2.79, 8 Ga 2.92-3.02
Sc: 0.0000 0.0000 0.4865  8 Ga 2.81-3.04, 4 Ni 2.93
Ni: 0.5000 0.5000 0.3284  3 Ga 2.40-2.42

M_tot in μB per atom: 0.00
SG: Pmm2, No. 25
Fermi-level density of states in states/eV/f.u.: 4.2
Raw total energy in eV per atom: -5.19

***

Compound: MgSc2Be2Pd5
Source: Alexandria
Functional: PBE-GGA
Structure: optimized geometry

Lattice parameters (Å, degrees): 3.3564 9.4881 9.4881 90.00 90.00 90.00
Closest atoms and distances in Å follow each position.
Element x y z (fractional)
Be: 0.0000 0.6222 0.8778  6 Pd 2.33-2.35
Be: 0.0000 0.8778 0.3778  6 Pd 2.33-2.35
Be: 0.0000 0.1222 0.6222  6 Pd 2.33-2.35
Be: 0.0000 0.3778 0.1222  6 Pd 2.33-2.35
Sc: 0.0000 0.1756 0.3244  3 Be 2.71-2.87, 6 Pd 2.89-2.96
Sc: 0.0000 0.8244 0.6756  3 Be 2.71-2.87, 6 Pd 2.89-2.96
Sc: 0.0000 0.3244 0.8244  3 Be 2.71-2.87, 6 Pd 2.89-2.96
Sc: 0.0000 0.6756 0.1756  3 Be 2.71-2.87, 6 Pd 2.89-2.96
Mg: 0.0000 0.5000 0.5000  8 Pd 2.72
Mg: 0.0000 0.0000 0.0000  8 Pd 2.72
Pd: 0.5000 0.9291 0.2146  2 Be 2.33
Pd: 0.5000 0.0709 0.7854  2 Be 2.33
Pd: 0.5000 0.5000 0.0000  4 Be 2.35
Pd: 0.5000 0.7146 0.4291  2 Be 2.33
Pd: 0.5000 0.2146 0.0709  2 Be 2.33
Pd: 0.5000 0.0000 0.5000  4 Be 2.35
Pd: 0.5000 0.4291 0.2854  2 Be 2.33
Pd: 0.5000 0.2854 0.5709  2 Be 2.33
Pd: 0.5000 0.5709 0.7146  2 Be 2.33
Pd: 0.5000 0.7854 0.9291  2 Be 2.33

M_tot in μB per atom: 0.00
SG: P4/mbm, No. 127
Fermi-level density of states in states/eV/f.u.: 4.4
Raw total energy in eV per atom: -5.52

***

Compound: NaEuTl2
Source: Alexandria
Functional: PBE-GGA
Structure: optimized geometry

Lattice parameters (Å, degrees): 5.4988 5.4988 5.4988 60.00 60.00 60.00
Closest atoms and distances in Å follow each position.
Element x y z (fractional)
Tl: 0.5000 0.5000 0.5000  4 Eu 3.37, 4 Na 3.37
Tl: 0.0000 0.0000 0.0000  4 Na 3.37, 4 Eu 3.37
Eu: 0.2500 0.2500 0.2500  8 Tl 3.37
Na: 0.7500 0.7500 0.7500  8 Tl 3.37

M_tot in μB per atom: 1.78
SG: Fm-3m, No. 225
Fermi-level density of states in states/eV/f.u.: 11.4
Raw total energy in eV per atom: -4.36

***

Compound: LaCo2Pb
Source: Alexandria
Functional: PBE-GGA
Structure: optimized geometry

Lattice parameters (Å, degrees): 4.9330 4.9330 4.9330 60.00 60.00 60.00
Closest atoms and distances in Å follow each position.
Element x y z (fractional)
Pb: 0.7500 0.7500 0.7500  4 Co 3.02, 4 La 3.02
Co: 0.2500 0.2500 0.2500  4 La 3.02, 4 Co 3.02
Co: 0.0000 0.0000 0.0000  4 Pb 3.02, 4 Co 3.02
La: 0.5000 0.5000 0.5000  4 Co 3.02, 4 Pb 3.02

M_tot in μB per atom: 0.82
SG: F-43m, No. 216
Fermi-level density of states in states/eV/f.u.: 7.2
Raw total energy in eV per atom: -5.27

***

Compound: Mg2TlIn9
Source: Alexandria
Functional: PBE-GGA
Structure: optimized geometry

Lattice parameters (Å, degrees): 4.6910 4.6910 14.2032 90.00 90.00 90.00
Closest atoms and distances in Å follow each position.
Element x y z (fractional)
In: 0.5000 0.5000 0.0000  4 Tl 3.32, 8 In 3.46
In: 0.0000 0.5000 0.5000  8 In 3.25-3.32, 4 Mg 3.26
In: 0.0000 0.5000 0.8208  2 Mg 3.28, 8 In 3.29-3.46, 2 Tl 3.46
In: 0.5000 0.5000 0.3415  8 In 3.25-3.29, 4 Mg 3.32
In: 0.5000 0.0000 0.8208  2 Mg 3.28, 8 In 3.29-3.46, 2 Tl 3.46
In: 0.0000 0.5000 0.1792  2 Mg 3.28, 8 In 3.29-3.46, 2 Tl 3.46
In: 0.5000 0.0000 0.1792  2 Mg 3.28, 8 In 3.29-3.46, 2 Tl 3.46
In: 0.5000 0.5000 0.6585  8 In 3.25-3.29, 4 Mg 3.32
In: 0.5000 0.0000 0.5000  8 In 3.25-3.32, 4 Mg 3.26
Mg: 0.0000 0.0000 0.3409  12 In 3.26-3.32
Mg: 0.0000 0.0000 0.6591  12 In 3.26-3.32
Tl: 0.0000 0.0000 0.0000  12 In 3.32-3.46

M_tot in μB per atom: 0.00
SG: P4/mmm, No. 123
Fermi-level density of states in states/eV/f.u.: 6.6
Energy relative to the lowest polymorph listed for this composition in meV per atom: 0.0

***

Which of these has the lowest Fermi-level density of states?
Cd2CuRu

***

What is the Fermi-level density of states in the seventh record?
4.2 states/eV/f.u.